AcMg3Ag4, optimized geometry, DFT PBE; density of states at the Fermi level = 0.5599 states/eV/atom; energy of formation = -21.75 kJ/mol of atoms; SG = R-3m (166); mass density = 6.7 g/cm3
1.0
4.5452 0.0000 1.3417
2.0746 4.0442 1.3417
-0.3973 -0.2427 9.7157
Ac Mg Ag
1 3 4
direct
0.0000 0.0000 0.0000 Ac
0.2362 0.2362 0.2914 Mg
0.7638 0.7638 0.7086 Mg
0.5000 0.5000 0.5000 Mg
0.8716 0.8716 0.3852 Ag
0.4023 0.4023 0.7930 Ag
0.1284 0.1284 0.6148 Ag
0.5977 0.5977 0.2070 Ag